Entry from Alexandria: a geometry-optimized Cs2HoMn3F12 structure (GGA+U).

Computed properties:
**Space-group type**: R-3m (166)
**Calculated total energy**: -5.88 eV/atom
**Magnetic moment**: 14.0 μB per cell
**DOS at the Fermi energy**: 0.021 states/eV per atom

abc: 7.9135 7.9135 7.9135
angles: 57.99 57.99 57.99
Fractional coordinates of all 18 atoms:
Cs: 0.1162 0.1162 0.1162
Cs: 0.8838 0.8838 0.8838
Ho: 0.5000 0.5000 0.5000
Mn: 0.0000 0.5000 0.5000
Mn: 0.5000 0.0000 0.5000
Mn: 0.5000 0.5000 0.0000
F: 0.1636 0.5798 0.5798
F: 0.1923 0.1923 0.5742
F: 0.1923 0.5742 0.1923
F: 0.4202 0.4202 0.8364
F: 0.4202 0.8364 0.4202
F: 0.4258 0.8077 0.8077
F: 0.5742 0.1923 0.1923
F: 0.5798 0.1636 0.5798
F: 0.5798 0.5798 0.1636
F: 0.8077 0.4258 0.8077
F: 0.8077 0.8077 0.4258
F: 0.8364 0.4202 0.4202